A:
A relaxed PrDy4Sc3 crystal. Source: Alexandria, functional PBE.

Summary:
ρ	6.519	g/cm³
SG	No. 71

Cell: 3.325 8.609 8.610 Å, 81.69 78.86 78.87°
Element x y z (fractional)
Pr: 0.500 0.000 0.000
Sc: 0.758 0.242 0.242
Sc: 0.242 0.758 0.758
Sc: 0.000 0.500 0.500
Dy: 0.633 0.122 0.612
Dy: 0.367 0.878 0.388
Dy: 0.367 0.388 0.878
Dy: 0.633 0.612 0.122



B:
A relaxed PrDy4Sc3 crystal. Source: Alexandria, functional PBE.

Summary:
ρ	6.511	g/cm³
SG	No. 31

Cell: 6.080 7.070 10.985 Å, 90.00 90.00 90.00°
Element x y z (fractional)
Pr: 0.149 0.382 0.000
Pr: 0.649 0.618 0.500
Dy: 0.140 0.868 0.000
Dy: 0.646 0.130 0.000
Dy: 0.986 0.131 0.255
Dy: 0.486 0.869 0.245
Dy: 0.146 0.870 0.500
Dy: 0.640 0.132 0.500
Dy: 0.486 0.869 0.755
Dy: 0.986 0.131 0.745
Sc: 0.651 0.623 0.000
Sc: 0.979 0.620 0.251
Sc: 0.479 0.380 0.249
Sc: 0.151 0.377 0.500
Sc: 0.479 0.380 0.751
Sc: 0.979 0.620 0.749



Stability ranking, top entry: B; the second entry is 14.1 kJ/mol of atoms less favorable.



A:
A relaxed PrDy2Se4 crystal. Source: Alexandria, functional PBE.

Summary:
ρ	6.874	g/cm³
SG	No. 62

Cell: 4.047 12.608 14.804 Å, 90.00 90.00 90.00°
Element x y z (fractional)
Pr: 0.250 0.753 0.329
Pr: 0.750 0.247 0.671
Pr: 0.250 0.253 0.171
Pr: 0.750 0.747 0.829
Dy: 0.750 0.058 0.887
Dy: 0.250 0.942 0.113
Dy: 0.750 0.558 0.613
Dy: 0.250 0.442 0.387
Dy: 0.250 0.405 0.908
Dy: 0.750 0.595 0.092
Dy: 0.250 0.905 0.592
Dy: 0.750 0.095 0.408
Se: 0.750 0.099 0.077
Se: 0.250 0.901 0.923
Se: 0.750 0.599 0.423
Se: 0.250 0.401 0.577
Se: 0.750 0.959 0.716
Se: 0.250 0.041 0.284
Se: 0.750 0.459 0.784
Se: 0.250 0.541 0.216
Se: 0.750 0.371 0.043
Se: 0.250 0.629 0.957
Se: 0.750 0.871 0.457
Se: 0.250 0.129 0.543
Se: 0.250 0.199 0.822
Se: 0.750 0.801 0.178
Se: 0.250 0.699 0.678
Se: 0.750 0.301 0.322



B:
A relaxed PrDy2Se4 crystal. Source: Alexandria, functional PBE.

Summary:
ρ	6.827	g/cm³
SG	No. 63

Cell: 4.043 7.056 13.913 Å, 90.00 90.00 106.65°
Element x y z (fractional)
Pr: 0.624 0.248 0.750
Pr: 0.376 0.752 0.250
Dy: 0.130 0.261 0.432
Dy: 0.870 0.739 0.932
Dy: 0.130 0.261 0.068
Dy: 0.870 0.739 0.568
Se: 0.774 0.547 0.119
Se: 0.774 0.547 0.381
Se: 0.226 0.453 0.881
Se: 0.226 0.453 0.619
Se: 0.960 0.920 0.750
Se: 0.040 0.080 0.250
Se: 0.500 0.000 0.000
Se: 0.500 0.000 0.500



Stability ranking, top entry: B; the second entry is 0.9 kJ/mol of atoms less favorable.



A:
A relaxed PrDy2Se crystal. Source: Alexandria, functional PBE.

Summary:
ρ	7.148	g/cm³
SG	No. 166

Cell: 3.731 3.731 10.718 Å, 79.98 79.98 60.00°
Element x y z (fractional)
Pr: 0.000 0.000 0.000
Se: 0.500 0.500 0.500
Dy: 0.110 0.110 0.671
Dy: 0.890 0.890 0.329



B:
A relaxed PrDy2Se crystal. Source: Alexandria, functional PBE.

Summary:
ρ	7.479	g/cm³
SG	No. 160

Cell: 3.811 3.811 9.866 Å, 78.86 78.86 60.00°
Site moments in Bohr magnetons follow the coordinates.
Element x y z (fractional)
Pr: 0.500 0.500 0.501  0.10
Dy: 0.064 0.064 0.808  0.07
Dy: 0.270 0.270 0.191  0.05
Se: 0.667 0.667 0.000  0.00



Stability ranking, top entry: B; the second entry is 20.9 kJ/mol of atoms less favorable.



A:
A relaxed Pr2DySe4 crystal. Source: Alexandria, functional PBE.

Summary:
ρ	6.265	g/cm³
SG	No. 63

Cell: 4.042 7.322 14.164 Å, 90.00 90.00 106.02°
Element x y z (fractional)
Pr: 0.130 0.260 0.428
Pr: 0.870 0.740 0.928
Pr: 0.130 0.260 0.072
Pr: 0.870 0.740 0.572
Dy: 0.628 0.256 0.750
Dy: 0.372 0.744 0.250
Se: 0.781 0.563 0.126
Se: 0.781 0.563 0.374
Se: 0.219 0.437 0.874
Se: 0.219 0.437 0.626
Se: 0.982 0.963 0.750
Se: 0.018 0.037 0.250
Se: 0.500 0.000 0.000
Se: 0.500 0.000 0.500



B:
A relaxed Pr2DySe4 crystal. Source: Alexandria, functional PBE.

Summary:
ρ	6.128	g/cm³
SG	No. 74

Cell: 8.348 8.327 8.327 Å, 61.05 59.92 59.92°
Element x y z (fractional)
Pr: 0.000 0.000 0.000
Pr: 0.000 0.000 0.500
Pr: 0.000 0.500 0.500
Pr: 0.500 0.000 0.500
Dy: 0.500 0.500 0.000
Dy: 0.000 0.500 0.000
Se: 0.258 0.252 0.232
Se: 0.742 0.268 0.248
Se: 0.258 0.732 0.752
Se: 0.742 0.748 0.768
Se: 0.754 0.745 0.245
Se: 0.744 0.255 0.755
Se: 0.256 0.745 0.245
Se: 0.246 0.255 0.755



Stability ranking, top entry: B; the second entry is 3.7 kJ/mol of atoms less favorable.



A:
A relaxed PrDySe3 crystal. Source: Alexandria, functional PBE.

Summary:
ρ	6.839	g/cm³
SG	No. 62

Cell: 4.174 7.776 16.167 Å, 90.00 90.00 90.00°
Element x y z (fractional)
Pr: 0.750 0.859 0.799
Pr: 0.250 0.141 0.201
Pr: 0.750 0.359 0.701
Pr: 0.250 0.641 0.299
Dy: 0.250 0.271 0.957
Dy: 0.250 0.771 0.543
Dy: 0.750 0.229 0.457
Dy: 0.750 0.729 0.043
Se: 0.250 0.378 0.562
Se: 0.750 0.849 0.215
Se: 0.750 0.491 0.895
Se: 0.750 0.991 0.605
Se: 0.750 0.622 0.438
Se: 0.250 0.009 0.395
Se: 0.250 0.878 0.938
Se: 0.750 0.349 0.285
Se: 0.250 0.651 0.715
Se: 0.250 0.151 0.785
Se: 0.750 0.122 0.062
Se: 0.250 0.509 0.105



B:
A relaxed PrDySe3 crystal. Source: Alexandria, functional PBE.

Summary:
ρ	6.375	g/cm³
SG	No. 11

Cell: 4.143 8.194 8.320 Å, 94.86 90.00 90.00°
Element x y z (fractional)
Pr: 0.250 0.378 0.229
Pr: 0.750 0.622 0.771
Dy: 0.250 0.854 0.326
Dy: 0.750 0.146 0.674
Se: 0.750 0.625 0.389
Se: 0.250 0.375 0.611
Se: 0.750 0.315 0.975
Se: 0.250 0.900 0.680
Se: 0.250 0.685 0.025
Se: 0.750 0.100 0.320



Stability ranking, top entry: A; the second entry is 1.7 kJ/mol of atoms less favorable.



A:
A relaxed Pr2Dy2Se5 crystal. Source: Alexandria, functional PBE.

Summary:
ρ	6.146	g/cm³
SG	No. 46

Cell: 8.269 7.234 10.586 Å, 109.98 112.99 90.00°
Element x y z (fractional)
Pr: 0.162 0.608 0.188
Pr: 0.838 0.420 0.812
Pr: 0.526 0.108 0.188
Pr: 0.474 0.920 0.812
Dy: 0.000 0.982 0.000
Dy: 0.500 0.482 0.000
Dy: 0.147 0.292 0.500
Dy: 0.853 0.792 0.500
Se: 0.255 0.742 0.937
Se: 0.745 0.805 0.063
Se: 0.182 0.242 0.937
Se: 0.818 0.305 0.063
Se: 0.251 0.052 0.293
Se: 0.749 0.759 0.707
Se: 0.542 0.552 0.293
Se: 0.458 0.259 0.707
Se: 0.173 0.675 0.500
Se: 0.827 0.175 0.500



B:
A relaxed Pr2Dy2Se5 crystal. Source: Alexandria, functional PBE.

Summary:
ρ	7.310	g/cm³
SG	No. 64

Cell: 7.779 8.432 8.432 Å, 124.62 90.00 90.00°
Element x y z (fractional)
Pr: 0.000 0.802 0.198
Pr: 0.500 0.302 0.698
Pr: 0.000 0.198 0.802
Pr: 0.500 0.698 0.302
Dy: 0.343 0.151 0.151
Dy: 0.657 0.849 0.849
Dy: 0.843 0.349 0.349
Dy: 0.157 0.651 0.651
Se: 0.000 0.000 0.000
Se: 0.500 0.500 0.500
Se: 0.154 0.208 0.476
Se: 0.846 0.524 0.792
Se: 0.654 0.024 0.292
Se: 0.346 0.708 0.976
Se: 0.846 0.792 0.524
Se: 0.154 0.476 0.208
Se: 0.346 0.976 0.708
Se: 0.654 0.292 0.024



Stability ranking, top entry: B; the second entry is 11.1 kJ/mol of atoms less favorable.



A:
A relaxed Pr2DySi crystal. Source: Alexandria, functional PBE.

Summary:
ρ	7.250	g/cm³
SG	No. 123

Cell: 4.811 4.742 4.742 Å, 90.00 90.00 90.00°
Element x y z (fractional)
Pr: 0.000 0.000 0.500
Pr: 0.000 0.500 0.000
Si: 0.500 0.500 0.500
Dy: 0.500 0.000 0.000



B:
A relaxed Pr2DySi crystal. Source: Alexandria, functional PBE.

Summary:
ρ	6.113	g/cm³
SG	No. 166

Cell: 3.851 3.851 10.234 Å, 79.15 79.15 60.00°
Element x y z (fractional)
Pr: 0.268 0.268 0.195
Pr: 0.732 0.732 0.805
Si: 0.000 0.000 0.000
Dy: 0.500 0.500 0.500



Stability ranking, top entry: A; the second entry is 15.6 kJ/mol of atoms less favorable.



A:
A relaxed PrDyZnSi crystal. Source: Alexandria, functional PBE.

Summary:
ρ	7.080	g/cm³
SG	No. 216

Cell: 5.087 5.087 5.087 Å, 60.00 60.00 60.00°
Element x y z (fractional)
Pr: 0.000 0.000 0.000
Zn: 0.750 0.750 0.750
Si: 0.250 0.250 0.250
Dy: 0.500 0.500 0.500



B:
A relaxed PrDyZnSi crystal. Source: Alexandria, functional PBE.

Summary:
ρ	6.777	g/cm³
SG	No. 38

Cell: 4.249 4.090 5.987 Å, 90.00 110.78 90.00°
Element x y z (fractional)
Pr: 0.147 0.000 0.294
Dy: 0.862 0.500 0.723
Zn: 0.564 0.500 0.129
Si: 0.427 0.000 0.854



Stability ranking, top entry: B; the second entry is 9.3 kJ/mol of atoms less favorable.